[1]
First-principles (PBE-GGA) data for a relaxed Np2SnRu crystal, as listed in Alexandria.

Output
calculated volume: 20.59 Å³/atom
formation energy from the elements: 0.20 eV per atom
offset from the most stable computed form: 0.155 eV/atom

Unit cell a=3.0567 b=3.0567 c=10.3288 alpha=81.49 beta=81.49 gamma=60.00
Closest atoms and distances in Å follow each position.
Element x y z (fractional)
Sn 0.5000 0.5000 0.5000  6 Sn 3.06, 6 Np 3.33
Np 0.2593 0.2593 0.2222  3 Ru 2.87, 6 Np 3.06
Np 0.7407 0.7407 0.7778  3 Ru 2.87, 6 Np 3.06
Ru 0.0000 0.0000 0.0000  6 Np 2.87, 6 Ru 3.06

=====

[2]
First-principles (PBE-GGA) data for a relaxed Np2Sn3Ru4 crystal, as listed in Alexandria.

Output
calculated volume: 18.94 Å³/atom
formation energy from the elements: -0.06 eV per atom

Unit cell a=4.6121 b=4.7242 c=8.9672 alpha=88.93 beta=90.00 gamma=119.22
Closest atoms and distances in Å follow each position.
Element x y z (fractional)
Ru 0.6669 0.3337 0.1004  4 Sn 2.82-2.87, 4 Np 2.84-2.96
Np 0.6727 0.3453 0.7839  7 Ru 2.82-2.96
Np 0.3273 0.6547 0.2161  7 Ru 2.82-2.96
Sn 0.3429 0.6857 0.5852  4 Ru 2.82-2.84, 1 Sn 2.98
Sn 0.6571 0.3143 0.4148  4 Ru 2.82-2.84, 1 Sn 2.98
Sn 0.0000 0.0000 0.0000  8 Ru 2.84-2.87
Ru 0.3331 0.6663 0.8996  4 Sn 2.82-2.87, 4 Np 2.84-2.96
Ru 0.0142 0.0283 0.6802  3 Np 2.82-2.95, 4 Sn 2.82-2.87
Ru 0.9858 0.9717 0.3198  3 Np 2.82-2.95, 4 Sn 2.82-2.87

=====

[3]
First-principles (PBE-GGA) data for a relaxed NpSn3Ru2 crystal, as listed in Alexandria.

Output
calculated volume: 20.59 Å³/atom
formation energy from the elements: -0.09 eV per atom

Unit cell a=3.9975 b=7.0768 c=8.7336 alpha=90.00 beta=90.00 gamma=90.00
Closest atoms and distances in Å follow each position.
Element x y z (fractional)
Np 0.5000 0.0190 0.4374  4 Ru 2.81-2.92
Sn 0.0000 0.9727 0.0966  5 Ru 2.93-3.11, 3 Sn 3.16-3.17
Ru 0.0000 0.7440 0.4008  4 Sn 2.72-2.97, 4 Np 2.81-2.92
Ru 0.0000 0.2440 0.5992  4 Sn 2.72-2.97, 4 Np 2.81-2.92
Ru 0.5000 0.2748 0.0946  8 Sn 2.67-2.96
Sn 0.0000 0.4727 0.9034  5 Ru 2.93-3.11, 3 Sn 3.16-3.17
Ru 0.5000 0.7748 0.9054  8 Sn 2.67-2.96
Sn 0.0000 0.8434 0.7016  4 Ru 2.72-2.97
Np 0.5000 0.5190 0.5626  4 Ru 2.81-2.92
Sn 0.5000 0.6462 0.1931  4 Ru 2.67-2.79
Sn 0.0000 0.3434 0.2984  4 Ru 2.72-2.97
Sn 0.5000 0.1462 0.8069  4 Ru 2.67-2.79

=====

[4]
First-principles (PBE-GGA) data for a relaxed NpTaRu4 crystal, as listed in Alexandria.

Output
calculated volume: 17.35 Å³/atom
formation energy from the elements: 0.16 eV per atom

Unit cell a=3.2268 b=6.9445 c=4.6450 alpha=89.98 beta=90.00 gamma=90.00
Closest atoms and distances in Å follow each position.
Element x y z (fractional)
Ru 0.0000 0.7891 0.4998  2 Ta 2.58, 2 Np 2.74-2.75, 4 Ru 2.87
Np 0.0000 0.0000 0.0000  8 Ru 2.52-2.75
Ru 0.5000 0.7220 0.9999  2 Np 2.52, 2 Ta 2.79
Ru 0.5000 0.2780 0.0001  2 Np 2.52, 2 Ta 2.79
Ta 0.5000 0.5000 0.5000  8 Ru 2.58-2.79
Ru 0.0000 0.2109 0.5002  2 Ta 2.58, 2 Np 2.74-2.75, 4 Ru 2.87